Computed, not measured: a relaxed Pm2Pr3Ge4 crystal at the PBE level of DFT.

Unit cell a=8.108 b=8.150 c=7.799 alpha=90.00 beta=108.49 gamma=90.00
Space group P2_1/c (No. 14)
Inequivalent atoms, fractional coordinates:
Pm (0.197, 0.186, 0.080) [4 per cell]
Pr (0.241, 0.674, 0.247) [4 per cell]
Pr (0.500, 0.000, 0.500) [2 per cell]
Ge (0.084, 0.531, 0.852) [4 per cell]
Ge (0.484, 0.129, 0.874) [4 per cell]

Total DFT energy (no corrections) = -0.40243 Ry/atom
Energy of formation = -774 meV per atom
Polymorph energy (0 for the lowest one) = 0 meV per atom
Crystal system = monoclinic
Total magnetic moment = 0.00 μB per atom

Computed, not measured: a relaxed Pm2PrGe2 crystal at the PBE level of DFT.

Unit cell a=7.924 b=7.924 c=4.278 alpha=90.00 beta=90.00 gamma=90.00
Space group P4/mbm (No. 127)
Inequivalent atoms, fractional coordinates:
Pm (0.173, 0.327, 0.000) [4 per cell]
Pr (0.000, 0.000, 0.500) [2 per cell]
Ge (0.120, 0.620, 0.500) [4 per cell]

Total DFT energy (no corrections) = -0.39895 Ry/atom
Energy of formation = -725 meV per atom
Polymorph energy (0 for the lowest one) = 0 meV per atom
Crystal system = tetragonal
Total magnetic moment = 0.00 μB per atom

Computed, not measured: a relaxed PmPrGe2 crystal at the PBE level of DFT.

Unit cell a=4.7838 b=4.7838 c=16.2912 alpha=90.00 beta=90.00 gamma=120.00
Space group R-3m (No. 166, hexagonal axes)
Inequivalent atoms, fractional coordinates:
Pm (0.0000, 0.0000, 0.0000) [3 per cell]
Pr (0.0000, 0.0000, 0.5000) [3 per cell]
Ge (0.0000, 0.0000, 0.2532) [6 per cell]

Total DFT energy (no corrections) = -0.39280 Ry/atom
Energy of formation = -653 meV per atom
Crystal system = trigonal
Total magnetic moment = 0.00 μB per atom

Computed, not measured: a relaxed Pm5Pr2Ge4 crystal at the PBE level of DFT.

Unit cell a=26.128 b=3.614 c=7.124 alpha=90.00 beta=91.85 gamma=90.00
Space group C2/m (No. 12)
Inequivalent atoms, fractional coordinates:
Pm (0.000, 0.000, 0.000) [2 per cell]
Pm (0.130, 0.500, 0.201) [4 per cell]
Pm (0.235, 0.500, 0.751) [4 per cell]
Pr (0.094, 0.500, 0.700) [4 per cell]
Ge (0.023, 0.500, 0.346) [4 per cell]
Ge (0.174, 0.000, 0.497) [4 per cell]

Total DFT energy (no corrections) = -0.37089 Ry/atom
Energy of formation = -339 meV per atom
Crystal system = monoclinic
Total magnetic moment = 0.00 μB per atom

Computed, not measured: a relaxed PmPrGe crystal at the PBE level of DFT.

Unit cell a=4.8105 b=4.8105 c=4.3470 alpha=90.00 beta=90.00 gamma=120.00
Space group P3m1 (No. 156)
Inequivalent atoms, fractional coordinates:
Pm (0.0000, 0.0000, 0.0000) [1 per cell]
Pr (0.6667, 0.3333, 0.5414) [1 per cell]
Ge (0.3333, 0.6667, 0.2029) [1 per cell]

Total DFT energy (no corrections) = -0.37551 Ry/atom
Energy of formation = -393 meV per atom
Polymorph energy (0 for the lowest one) = 220 meV per atom
Crystal system = trigonal
Total magnetic moment = 0.00 μB per atom

Computed, not measured: a relaxed PmPr2Ge3 crystal at the PBE level of DFT.

Unit cell a=4.335 b=6.091 c=12.867 alpha=90.00 beta=90.00 gamma=90.00
Space group Immm (No. 71)
Inequivalent atoms, fractional coordinates:
Pm (0.000, 0.000, 0.000) [2 per cell]
Pr (0.000, 0.000, 0.332) [4 per cell]
Ge (0.000, 0.500, 0.000) [2 per cell]
Ge (0.000, 0.500, 0.337) [4 per cell]

Total DFT energy (no corrections) = -0.39263 Ry/atom
Energy of formation = -648 meV per atom
Crystal system = orthorhombic
Total magnetic moment = 0.00 μB per atom

Computed, not measured: a relaxed PmPr2Ge2 crystal at the PBE level of DFT.

Unit cell a=7.887 b=7.887 c=4.416 alpha=90.00 beta=90.00 gamma=90.00
Space group P4/mbm (No. 127)
Inequivalent atoms, fractional coordinates:
Pm (0.000, 0.000, 0.000) [2 per cell]
Pr (0.175, 0.325, 0.500) [4 per cell]
Ge (0.120, 0.620, 0.000) [4 per cell]

Total DFT energy (no corrections) = -0.40038 Ry/atom
Energy of formation = -739 meV per atom
Polymorph energy (0 for the lowest one) = 0 meV per atom
Crystal system = tetragonal
Total magnetic moment = 0.00 μB per atom

Computed, not measured: a relaxed PmPr2Ge crystal at the PBE level of DFT.

Unit cell a=3.9000 b=3.9000 c=30.3294 alpha=90.00 beta=90.00 gamma=120.00
Space group R-3m (No. 166, hexagonal axes)
Inequivalent atoms, fractional coordinates:
Pm (0.0000, 0.0000, 0.0000) [3 per cell]
Pr (0.0000, 0.0000, 0.2318) [6 per cell]
Ge (0.0000, 0.0000, 0.5000) [3 per cell]

Total DFT energy (no corrections) = -0.36207 Ry/atom
Energy of formation = -194 meV per atom
Polymorph energy (0 for the lowest one) = 232 meV per atom
Crystal system = trigonal
Total magnetic moment = 0.00 μB per atom

Computed, not measured: a relaxed PmPr2Ge crystal at the PBE level of DFT.

Unit cell a=4.196 b=12.466 c=9.529 alpha=90.00 beta=90.00 gamma=90.00
Space group Cmcm (No. 63)
Inequivalent atoms, fractional coordinates:
Pm (0.000, 0.069, 0.250) [4 per cell]
Pr (0.000, 0.355, 0.056) [8 per cell]
Ge (0.000, 0.256, 0.750) [4 per cell]

Total DFT energy (no corrections) = -0.37912 Ry/atom
Energy of formation = -426 meV per atom
Polymorph energy (0 for the lowest one) = 0 meV per atom
Crystal system = orthorhombic
Total magnetic moment = 0.00 μB per atom

Computed, not measured: a relaxed PmPrGe2 crystal at the PBE level of DFT.

Unit cell a=3.454 b=3.454 c=8.322 alpha=90.00 beta=90.00 gamma=90.00
Space group P4/mmm (No. 123)
Inequivalent atoms, fractional coordinates:
Pm (0.000, 0.000, 0.000) [1 per cell]
Pr (0.000, 0.000, 0.500) [1 per cell]
Ge (0.500, 0.500, 0.246) [2 per cell]

Total DFT energy (no corrections) = -0.39087 Ry/atom
Energy of formation = -627 meV per atom
Crystal system = tetragonal
Total magnetic moment = 0.00 μB per atom

Computed, not measured: a relaxed Pm3Pr2Ge2 crystal at the PBE level of DFT.

Unit cell a=12.063 b=4.311 c=8.634 alpha=90.00 beta=111.04 gamma=90.00
Space group C2/m (No. 12)
Inequivalent atoms, fractional coordinates:
Pm (0.000, 0.000, 0.000) [2 per cell]
Pm (0.131, 0.000, 0.443) [4 per cell]
Pr (0.150, 0.500, 0.807) [4 per cell]
Ge (0.168, 0.500, 0.205) [4 per cell]

Total DFT energy (no corrections) = -0.38480 Ry/atom
Energy of formation = -515 meV per atom
Crystal system = monoclinic
Total magnetic moment = 0.00 μB per atom

Computed, not measured: a relaxed PmPrGe4 crystal at the PBE level of DFT.

Unit cell a=8.969 b=15.592 c=4.183 alpha=90.00 beta=90.00 gamma=90.00
Space group Pbam (No. 55)
Inequivalent atoms, fractional coordinates:
Pm (0.136, 0.087, 0.000) [4 per cell]
Pr (0.105, 0.368, 0.000) [4 per cell]
Ge (0.053, 0.217, 0.500) [4 per cell]
Ge (0.130, 0.529, 0.500) [4 per cell]
Ge (0.133, 0.924, 0.500) [4 per cell]
Ge (0.172, 0.691, 0.500) [4 per cell]

Total DFT energy (no corrections) = -0.38012 Ry/atom
Energy of formation = -505 meV per atom
Polymorph energy (0 for the lowest one) = 0 meV per atom
Crystal system = orthorhombic
Total magnetic moment = 0.00 μB per atom

Computed, not measured: a relaxed Pm5Pr4Ge2 crystal at the PBE level of DFT.

Unit cell a=4.9960 b=4.9960 c=52.8380 alpha=90.00 beta=90.00 gamma=120.00
Space group R-3m (No. 166, hexagonal axes)
Inequivalent atoms, fractional coordinates:
Pm (0.0000, 0.0000, 0.0000) [3 per cell]
Pm (0.0000, 0.0000, 0.1489) [6 per cell]
Pm (0.0000, 0.0000, 0.3012) [6 per cell]
Pr (0.0000, 0.0000, 0.0707) [6 per cell]
Pr (0.0000, 0.0000, 0.2207) [6 per cell]
Ge (0.0000, 0.0000, 0.3635) [6 per cell]

Total DFT energy (no corrections) = -0.34358 Ry/atom
Energy of formation = 62 meV per atom
Crystal system = trigonal
Total magnetic moment = 0.00 μB per atom

Computed, not measured: a relaxed PmPrGe crystal at the PBE level of DFT.

Unit cell a=7.172 b=7.172 c=7.172 alpha=90.00 beta=90.00 gamma=90.00
Space group F-43m (No. 216)
Inequivalent atoms, fractional coordinates:
Pm (0.000, 0.000, 0.000) [4 per cell]
Pr (0.000, 0.000, 0.500) [4 per cell]
Ge (0.250, 0.250, 0.750) [4 per cell]

Total DFT energy (no corrections) = -0.38569 Ry/atom
Energy of formation = -532 meV per atom
Polymorph energy (0 for the lowest one) = 82 meV per atom
Crystal system = cubic
Total magnetic moment = 0.00 μB per atom

Computed, not measured: a relaxed PmPrGe2 crystal at the PBE level of DFT.

Unit cell a=4.081 b=4.482 c=11.109 alpha=90.00 beta=90.00 gamma=90.00
Space group Amm2 (No. 38)
Inequivalent atoms, fractional coordinates:
Pm (0.000, 0.000, 0.000) [2 per cell]
Pr (0.500, 0.000, 0.276) [2 per cell]
Ge (0.000, 0.000, 0.718) [2 per cell]
Ge (0.500, 0.000, 0.556) [2 per cell]

Total DFT energy (no corrections) = -0.40714 Ry/atom
Energy of formation = -848 meV per atom
Crystal system = orthorhombic
Total magnetic moment = 0.00 μB per atom

Computed, not measured: a relaxed Pm3PrGe3 crystal at the PBE level of DFT.

Unit cell a=10.3192 b=10.3192 c=6.2051 alpha=90.00 beta=90.00 gamma=120.00
Space group R3m (No. 160, hexagonal axes)
Inequivalent atoms, fractional coordinates:
Pm (0.0434, 0.5217, 0.0000) [9 per cell]
Pr (0.0000, 0.0000, 0.9111) [3 per cell]
Ge (0.0001, 0.5001, 0.4811) [9 per cell]

Total DFT energy (no corrections) = -0.39164 Ry/atom
Energy of formation = -631 meV per atom
Crystal system = trigonal
Total magnetic moment = 0.00 μB per atom

Computed, not measured: a relaxed PmPr2Ge crystal at the PBE level of DFT.

Unit cell a=4.822 b=4.822 c=4.852 alpha=90.00 beta=90.00 gamma=90.00
Space group P4/mmm (No. 123)
Inequivalent atoms, fractional coordinates:
Pm (0.000, 0.000, 0.000) [1 per cell]
Pr (0.000, 0.500, 0.500) [2 per cell]
Ge (0.500, 0.500, 0.000) [1 per cell]

Total DFT energy (no corrections) = -0.37272 Ry/atom
Energy of formation = -339 meV per atom
Polymorph energy (0 for the lowest one) = 87 meV per atom
Crystal system = tetragonal
Total magnetic moment = 0.00 μB per atom

Computed, not measured: a relaxed Pm2Pr3Ge4 crystal at the PBE level of DFT.

Unit cell a=11.658 b=4.513 c=9.925 alpha=90.00 beta=99.06 gamma=90.00
Space group C2/m (No. 12)
Inequivalent atoms, fractional coordinates:
Pm (0.179, 0.000, 0.314) [4 per cell]
Pr (0.000, 0.500, 0.500) [2 per cell]
Pr (0.120, 0.000, 0.898) [4 per cell]
Ge (0.089, 0.500, 0.109) [4 per cell]
Ge (0.154, 0.000, 0.612) [4 per cell]

Total DFT energy (no corrections) = -0.39568 Ry/atom
Energy of formation = -682 meV per atom
Polymorph energy (0 for the lowest one) = 92 meV per atom
Crystal system = monoclinic
Total magnetic moment = 0.00 μB per atom

Computed, not measured: a relaxed PmPrGe crystal at the PBE level of DFT.

Unit cell a=8.2086 b=8.2086 c=4.3413 alpha=90.00 beta=90.00 gamma=120.00
Space group P-62m (No. 189)
Inequivalent atoms, fractional coordinates:
Pm (0.0000, 0.2642, 0.0000) [3 per cell]
Pr (0.0000, 0.5906, 0.5000) [3 per cell]
Ge (0.0000, 0.0000, 0.5000) [1 per cell]
Ge (0.3333, 0.6667, 0.0000) [2 per cell]

Total DFT energy (no corrections) = -0.39169 Ry/atom
Energy of formation = -613 meV per atom
Polymorph energy (0 for the lowest one) = 0 meV per atom
Crystal system = hexagonal
Total magnetic moment = 0.20 μB per atom

Computed, not measured: a relaxed Pm2PrGe2 crystal at the PBE level of DFT.

Unit cell a=6.275 b=5.155 c=8.926 alpha=90.00 beta=90.04 gamma=90.00
Space group P2_1/m (No. 11)
Inequivalent atoms, fractional coordinates:
Pm (0.190, 0.250, 0.083) [2 per cell]
Pm (0.190, 0.750, 0.584) [2 per cell]
Pr (0.500, 0.250, 0.750) [2 per cell]
Ge (0.292, 0.250, 0.417) [2 per cell]
Ge (0.292, 0.750, 0.917) [2 per cell]

Total DFT energy (no corrections) = -0.39296 Ry/atom
Energy of formation = -643 meV per atom
Polymorph energy (0 for the lowest one) = 82 meV per atom
Crystal system = monoclinic
Total magnetic moment = 0.00 μB per atom